[1]
VASP calculation (PBE) on a relaxed structure of Tm2Zr2S7.

Lattice parameters (Å, degrees): 8.2722 8.2722 8.2722 153.76 66.40 120.22
Atoms (fractional coordinates):
Tm (0.0000, 0.0000, 0.0000)
Tm (0.5336, 0.0336, 0.5000)
Zr (0.0550, 0.7981, 0.2569)
Zr (0.5411, 0.7981, 0.7431)
S (0.2240, 0.7240, 0.5000)
S (0.2896, 0.1035, 0.1860)
S (0.3478, 0.4946, 0.8532)
S (0.6414, 0.4946, 0.1468)
S (0.7024, 0.3148, 0.3876)
S (0.9175, 0.1035, 0.8140)
S (0.9271, 0.3148, 0.6124)

Calculated values
The calculation puts the density of states at the Fermi level at 0.41 states/eV per cell. The formation energy (no corrections) comes out at -1.66 eV per atom.

=====

[2]
VASP calculation (PBE) on a relaxed structure of Tm2ZrS.

Lattice parameters (Å, degrees): 9.8393 9.8393 9.8393 20.39 20.39 20.39
Atoms (fractional coordinates):
Tm (0.1074, 0.1074, 0.1074)
Tm (0.8926, 0.8926, 0.8926)
Zr (0.0000, 0.0000, 0.0000)
S (0.5000, 0.5000, 0.5000)

Calculated values
The calculation puts the density of states at the Fermi level at 4.21 states/eV per cell. The formation energy (no corrections) comes out at -0.53 eV per atom.

=====

[3]
VASP calculation (PBE) on a relaxed structure of TmZr2S5.

Lattice parameters (Å, degrees): 9.4083 7.2381 6.9726 82.89 49.77 47.34
Atoms (fractional coordinates):
Tm (0.0000, 0.0000, 0.0000)
Zr (0.3148, 0.3148, 0.6852)
Zr (0.6852, 0.6852, 0.3148)
S (0.0479, 0.2870, 0.7130)
S (0.2870, 0.0479, 0.9521)
S (0.5000, 0.5000, 0.5000)
S (0.7130, 0.9521, 0.0479)
S (0.9521, 0.7130, 0.2870)

Calculated values
The calculation puts the density of states at the Fermi level at 2.24 states/eV per cell. The formation energy (no corrections) comes out at -1.33 eV per atom.

=====

[4]
VASP calculation (PBE) on a relaxed structure of TmZr2S6.

Lattice parameters (Å, degrees): 6.7550 6.7550 8.6460 126.55 126.55 44.49
Atoms (fractional coordinates):
Tm (0.0000, 0.0000, 0.0000)
Zr (0.1677, 0.1677, 0.5798)
Zr (0.8323, 0.8323, 0.4202)
S (0.0700, 0.0700, 0.7567)
S (0.2707, 0.2707, 0.3872)
S (0.3932, 0.3932, 0.9583)
S (0.6068, 0.6068, 0.0417)
S (0.7293, 0.7293, 0.6128)
S (0.9300, 0.9300, 0.2433)

Calculated values
The calculation puts the density of states at the Fermi level at 2.43 states/eV per cell. The formation energy (no corrections) comes out at -1.41 eV per atom.

=====

[5]
VASP calculation (PBE) on a relaxed structure of Tm2ZrS4.

Lattice parameters (Å, degrees): 7.1801 7.1801 6.8172 117.65 117.65 30.96
Atoms (fractional coordinates):
Tm (0.2335, 0.2335, 0.2228)
Tm (0.7665, 0.7665, 0.7772)
Zr (0.5000, 0.5000, 0.5000)
S (0.1302, 0.1302, 0.4821)
S (0.3805, 0.3805, 0.0654)
S (0.6195, 0.6195, 0.9346)
S (0.8698, 0.8698, 0.5179)

Calculated values
The calculation puts the density of states at the Fermi level at 1.40 states/eV per cell. The formation energy (no corrections) comes out at -1.82 eV per atom.

=====

[6]
VASP calculation (PBE) on a relaxed structure of TmZrS3.

Lattice parameters (Å, degrees): 6.5590 6.5590 6.4876 90.00 90.00 120.00
Atoms (fractional coordinates):
Tm (0.0000, 0.0000, 0.0000)
Tm (0.0000, 0.0000, 0.5000)
Zr (0.3333, 0.6667, 0.0000)
Zr (0.3333, 0.6667, 0.5000)
S (0.0295, 0.3420, 0.2500)
S (0.0295, 0.6874, 0.7500)
S (0.3126, 0.3420, 0.7500)
S (0.3126, 0.9705, 0.2500)
S (0.6580, 0.6874, 0.2500)
S (0.6580, 0.9705, 0.7500)

Calculated values
The calculation puts the density of states at the Fermi level at 1.82 states/eV per cell. The formation energy (no corrections) comes out at -1.74 eV per atom.

=====

[7]
VASP calculation (PBE) on a relaxed structure of Tm2ZrS3.

Lattice parameters (Å, degrees): 3.6944 3.6944 19.6590 90.00 90.00 120.00
Atoms (fractional coordinates):
Tm (0.3333, 0.6667, 0.0797)
Tm (0.3333, 0.6667, 0.4203)
Tm (0.6667, 0.3333, 0.5797)
Tm (0.6667, 0.3333, 0.9203)
Zr (0.0000, 0.0000, 0.2500)
Zr (0.0000, 0.0000, 0.7500)
S (0.0000, 0.0000, 0.0000)
S (0.0000, 0.0000, 0.5000)
S (0.3333, 0.6667, 0.6683)
S (0.3333, 0.6667, 0.8317)
S (0.6667, 0.3333, 0.1683)
S (0.6667, 0.3333, 0.3317)

Calculated values
The calculation puts the density of states at the Fermi level at 4.38 states/eV per cell. The formation energy (no corrections) comes out at -1.72 eV per atom.

=====

[8]
VASP calculation (PBE) on a relaxed structure of U2S.

Lattice parameters (Å, degrees): 3.6525 3.6525 4.5847 107.13 107.13 90.51
Atoms (fractional coordinates):
U (0.1282, 0.1282, 0.3084)
U (0.8718, 0.8718, 0.6916)
S (0.5000, 0.5000, 0.0000)

Calculated values
The calculation puts the density of states at the Fermi level at 5.86 states/eV per cell. The formation energy (no corrections) comes out at -0.49 eV per atom.

=====

[9]
VASP calculation (PBE) on a relaxed structure of US4.

Lattice parameters (Å, degrees): 4.3522 4.3522 7.0105 96.85 96.85 60.73
Atoms (fractional coordinates):
U (0.0000, 0.0000, 0.0000)
S (0.0950, 0.0950, 0.4166)
S (0.3136, 0.3136, 0.8600)
S (0.6864, 0.6864, 0.1400)
S (0.9050, 0.9050, 0.5834)

Calculated values
The calculation puts the density of states at the Fermi level at 6.49 states/eV per cell. The formation energy (no corrections) comes out at -0.68 eV per atom.

=====

[10]
VASP calculation (PBE) on a relaxed structure of US8.

Lattice parameters (Å, degrees): 7.7190 7.7190 7.7190 93.70 93.70 150.56
Atoms (fractional coordinates):
U (0.0000, 0.0000, 0.0000)
S (0.0000, 0.3993, 0.3993)
S (0.0000, 0.6007, 0.6007)
S (0.3717, 0.3717, 0.7433)
S (0.3717, 0.6283, 0.0000)
S (0.3993, 0.0000, 0.3993)
S (0.6007, 0.0000, 0.6007)
S (0.6283, 0.3717, 0.0000)
S (0.6283, 0.6283, 0.2567)

Calculated values
The calculation puts the density of states at the Fermi level at 8.74 states/eV per cell. The formation energy (no corrections) comes out at 0.20 eV per atom.

=====

[11]
VASP calculation (PBE) on a relaxed structure of U2S.

Lattice parameters (Å, degrees): 3.6217 3.6217 5.1349 90.00 90.00 120.00
Atoms (fractional coordinates):
U (0.3333, 0.6667, 0.1384)
U (0.6667, 0.3333, 0.8616)
S (0.0000, 0.0000, 0.5000)

Calculated values
The calculation puts the density of states at the Fermi level at 4.86 states/eV per cell. The formation energy (no corrections) comes out at -1.00 eV per atom.

=====

[12]
VASP calculation (PBE) on a relaxed structure of U3S.

Lattice parameters (Å, degrees): 4.1951 4.1951 4.1951 90.00 90.00 90.00
Atoms (fractional coordinates):
U (0.0000, 0.0000, 0.5000)
U (0.0000, 0.5000, 0.0000)
U (0.5000, 0.0000, 0.0000)
S (0.5000, 0.5000, 0.5000)

Calculated values
The calculation puts the density of states at the Fermi level at 9.09 states/eV per cell. The formation energy (no corrections) comes out at -0.34 eV per atom.

=====

[13]
VASP calculation (PBE) on a relaxed structure of US2.

Lattice parameters (Å, degrees): 7.0641 4.0205 8.4860 90.00 90.00 90.00
Atoms (fractional coordinates):
U (0.2503, 0.2500, 0.1235)
U (0.2497, 0.7500, 0.6235)
U (0.7503, 0.2500, 0.3765)
U (0.7497, 0.7500, 0.8765)
S (0.0307, 0.2500, 0.8339)
S (0.1397, 0.2500, 0.4300)
S (0.3603, 0.7500, 0.9300)
S (0.4693, 0.7500, 0.3339)
S (0.5307, 0.2500, 0.6661)
S (0.6397, 0.2500, 0.0700)
S (0.8603, 0.7500, 0.5700)
S (0.9693, 0.7500, 0.1661)

Calculated values
The calculation puts the density of states at the Fermi level at 24.65 states/eV per cell. The formation energy (no corrections) comes out at -1.37 eV per atom.

=====

[14]
VASP calculation (PBE) on a relaxed structure of US.

Lattice parameters (Å, degrees): 3.3971 3.3971 3.3971 90.00 90.00 90.00
Atoms (fractional coordinates):
U (0.0000, 0.0000, 0.0000)
S (0.5000, 0.5000, 0.5000)

Calculated values
The calculation puts the density of states at the Fermi level at 4.63 states/eV per cell. The formation energy (no corrections) comes out at -1.00 eV per atom.

=====

[15]
VASP calculation (PBE) on a relaxed structure of US2.

Lattice parameters (Å, degrees): 6.2445 7.3482 6.7919 90.00 90.00 90.00
Atoms (fractional coordinates):
U (0.0000, 0.1593, 0.2500)
U (0.0000, 0.8407, 0.7500)
U (0.5000, 0.3407, 0.7500)
U (0.5000, 0.6593, 0.2500)
S (0.2382, 0.0964, 0.5698)
S (0.2382, 0.9036, 0.0698)
S (0.2618, 0.4036, 0.0698)
S (0.2618, 0.5964, 0.5698)
S (0.7382, 0.4036, 0.4302)
S (0.7382, 0.5964, 0.9302)
S (0.7618, 0.0964, 0.9302)
S (0.7618, 0.9036, 0.4302)

Calculated values
The calculation puts the density of states at the Fermi level at 29.42 states/eV per cell. The formation energy (no corrections) comes out at -1.29 eV per atom.

=====

[16]
VASP calculation (PBE) on a relaxed structure of US3.

Lattice parameters (Å, degrees): 5.4197 3.9218 9.6485 90.00 97.07 90.00
Atoms (fractional coordinates):
U (0.2203, 0.2500, 0.3642)
U (0.7797, 0.7500, 0.6358)
S (0.0091, 0.2500, 0.8082)
S (0.2642, 0.7500, 0.5642)
S (0.3723, 0.7500, 0.1911)
S (0.6277, 0.2500, 0.8089)
S (0.7358, 0.2500, 0.4358)
S (0.9909, 0.7500, 0.1918)

Calculated values
The calculation puts the density of states at the Fermi level at 10.03 states/eV per cell. The formation energy (no corrections) comes out at -1.10 eV per atom.

=====

[17]
VASP calculation (PBE) on a relaxed structure of US3.

Lattice parameters (Å, degrees): 6.3720 6.3720 5.9955 90.00 90.00 120.00
Atoms (fractional coordinates):
U (0.3333, 0.6667, 0.2500)
U (0.6667, 0.3333, 0.7500)
S (0.0000, 0.3502, 0.0000)
S (0.0000, 0.6498, 0.5000)
S (0.3502, 0.0000, 0.0000)
S (0.3502, 0.3502, 0.5000)
S (0.6498, 0.0000, 0.5000)
S (0.6498, 0.6498, 0.0000)

Calculated values
The formation energy (no corrections) comes out at -0.89 eV per atom.

=====

[18]
VASP calculation (PBE) on a relaxed structure of U5S6.

Lattice parameters (Å, degrees): 6.7170 6.7170 6.6419 99.79 99.79 120.51
Atoms (fractional coordinates):
U (0.0000, 0.0000, 0.0000)
U (0.1659, 0.8341, 0.5000)
U (0.3329, 0.6671, 0.0000)
U (0.6671, 0.3329, 0.0000)
U (0.8341, 0.1659, 0.5000)
S (0.0928, 0.4193, 0.2566)
S (0.2560, 0.2560, 0.7453)
S (0.4193, 0.0928, 0.2566)
S (0.5807, 0.9072, 0.7434)
S (0.7440, 0.7440, 0.2547)
S (0.9072, 0.5807, 0.7434)

Calculated values
The calculation puts the density of states at the Fermi level at 21.00 states/eV per cell. The formation energy (no corrections) comes out at -1.38 eV per atom.

=====

[19]
VASP calculation (PBE) on a relaxed structure of US4.

Lattice parameters (Å, degrees): 5.1002 5.1002 5.1002 90.00 90.00 90.00
Atoms (fractional coordinates):
U (0.0000, 0.0000, 0.0000)
S (0.0000, 0.0000, 0.5000)
S (0.0000, 0.5000, 0.0000)
S (0.5000, 0.0000, 0.0000)
S (0.5000, 0.5000, 0.5000)

Calculated values
The calculation puts the density of states at the Fermi level at 4.26 states/eV per cell. The formation energy (no corrections) comes out at -0.17 eV per atom.

=====

[20]
VASP calculation (PBE) on a relaxed structure of US3.

Lattice parameters (Å, degrees): 5.4191 3.9209 10.0969 90.00 105.51 90.00
Atoms (fractional coordinates):
U (0.1835, 0.2500, 0.3665)
U (0.8165, 0.7500, 0.6335)
S (0.0921, 0.2500, 0.8036)
S (0.2816, 0.7500, 0.5634)
S (0.2896, 0.7500, 0.1964)
S (0.7104, 0.2500, 0.8036)
S (0.7184, 0.2500, 0.4366)
S (0.9079, 0.7500, 0.1964)

Calculated values
The calculation puts the density of states at the Fermi level at 8.64 states/eV per cell. The formation energy (no corrections) comes out at -1.10 eV per atom.

=====

no.,density (Mg/m³),V (Å³/cell)
1,5.8,214
2,7.6,101
3,3.8,221
4,4.3,212
5,5.8,158
6,4.9,242
7,7.5,232
8,15.2,56
9,5.3,115
10,3.8,219
11,14.5,58
12,16.8,74
13,8.3,241
14,11.4,39
15,6.4,312
16,5.5,204
17,5.3,211
18,9.5,243
19,4.6,133
20,5.4,207